Record 1
Crystalline BaSi4As at its relaxed geometry, computed with PBE-GGA.

Output
* uncorrected formation energy: 273 meV per atom
* symmetry: F-43m

```
BaSi4As
1.0
0.000 3.943 3.943
3.943 0.000 3.943
3.943 3.943 0.000
Ba Si As
1 4 1
direct
0.000 0.000 0.000
0.151 0.616 0.616
0.616 0.151 0.616
0.616 0.616 0.151
0.616 0.616 0.616
0.250 0.250 0.250
```

---

Record 2
Crystalline BaSiAs3 at its relaxed geometry, computed with PBE-GGA.

Output
* uncorrected formation energy: -454 meV per atom
* symmetry: P1
* distance to the lowest polymorph of the same formula: 0 meV per atom

```
BaSiAs3
1.0
6.592 0.000 0.000
1.359 6.701 0.000
3.041 0.351 6.507
Ba Si As
2 2 6
direct
0.000 0.000 0.000
0.275 0.394 0.386
0.569 0.295 0.795
0.642 0.794 0.768
0.221 0.523 0.868
0.412 0.773 0.584
0.481 0.020 0.036
0.740 0.484 0.930
0.792 0.230 0.442
0.972 0.893 0.502
```

---

Record 3
Crystalline BaSiAs2 at its relaxed geometry, computed with PBE-GGA.

Output
* uncorrected formation energy: -326 meV per atom
* symmetry: C2/m

```
BaSiAs2
1.0
4.569 -2.046 0.000
4.569 2.046 0.000
-2.169 0.000 5.515
Ba Si As
1 1 2
direct
0.000 0.000 0.000
0.500 0.500 0.500
0.208 0.208 0.615
0.792 0.792 0.385
```

---

Record 4
Crystalline BaSiAs4 at its relaxed geometry, computed with PBE-GGA.

Output
* uncorrected formation energy: -224 meV per atom
* symmetry: C2/m
* distance to the lowest polymorph of the same formula: 0 meV per atom

```
BaSiAs4
1.0
7.522 -3.420 0.000
7.522 3.420 0.000
-0.351 0.000 6.476
Ba Si As
2 2 8
direct
0.239 0.239 0.275
0.761 0.761 0.725
0.422 0.422 0.838
0.578 0.578 0.162
0.116 0.749 0.383
0.222 0.778 0.000
0.251 0.884 0.617
0.273 0.273 0.778
0.727 0.727 0.222
0.749 0.116 0.383
0.778 0.222 0.000
0.884 0.251 0.617
```

---

Record 5
Crystalline BaSiAs2 at its relaxed geometry, computed with PBE-GGA.

Output
* uncorrected formation energy: -100 meV per atom
* symmetry: Imm2

```
BaSiAs2
1.0
-1.802 2.873 4.908
1.802 -2.873 4.908
1.802 2.873 -4.908
Ba Si As
1 1 2
direct
0.000 0.000 0.000
0.292 0.792 0.500
0.468 0.468 0.000
0.688 0.188 0.500
```

---

Record 6
Crystalline Ba2SiAs2 at its relaxed geometry, computed with PBE-GGA.

Output
* uncorrected formation energy: -577 meV per atom
* symmetry: P4/mbm

```
Ba2SiAs2
1.0
7.685 0.000 0.000
0.000 7.685 0.000
0.000 0.000 4.967
Ba Si As
4 2 4
direct
0.183 0.317 0.000
0.317 0.817 0.000
0.683 0.183 0.000
0.817 0.683 0.000
0.000 0.000 0.500
0.500 0.500 0.500
0.117 0.617 0.500
0.383 0.117 0.500
0.617 0.883 0.500
0.883 0.383 0.500
```

---

Record 7
Crystalline BaSmAs2 at its relaxed geometry, computed with PBE-GGA.

Output
* formation energy from the elements: -1.14 eV/atom
* symmetry: R-3m
* distance to the lowest polymorph of the same formula: 0 meV per atom

```
BaSmAs2
1.0
2.202 1.272 7.523
-2.202 1.272 7.523
0.000 -2.543 7.523
Ba Sm As
1 1 2
direct
0.000 0.000 0.000
0.500 0.500 0.500
0.238 0.238 0.238
0.762 0.762 0.762
```

---

Record 8
Crystalline BaSmAs2 at its relaxed geometry, computed with PBE-GGA.

Output
* formation energy from the elements: -1.08 eV/atom
* symmetry: R3m
* distance to the lowest polymorph of the same formula: 56 meV per atom

```
BaSmAs2
1.0
2.159 1.246 7.869
-2.159 1.246 7.869
0.000 -2.493 7.869
Ba Sm As
1 1 2
direct
0.000 0.000 0.000
0.172 0.172 0.172
0.575 0.575 0.575
0.765 0.765 0.765
```

---

Record 9
Crystalline Ba2SmThAs4 at its relaxed geometry, computed with PBE-GGA.

Output
* formation energy from the elements: -1.23 eV/atom
* symmetry: P2/m

```
Ba2SmThAs4
1.0
7.659 0.000 0.000
0.000 4.427 0.000
-2.561 0.000 7.542
Ba Sm Th As
2 1 1 4
direct
0.000 0.000 0.000
0.500 0.500 0.000
0.000 0.500 0.500
0.500 0.000 0.500
0.239 0.000 0.713
0.264 0.500 0.287
0.736 0.500 0.713
0.761 0.000 0.287
```

---

Record 10
Crystalline Ba3Sm2UAs6 at its relaxed geometry, computed with PBE-GGA.

Output
* formation energy from the elements: -1.16 eV/atom
* symmetry: C2/m

```
Ba3Sm2UAs6
1.0
3.772 -6.530 0.000
3.772 6.530 0.000
-2.515 0.000 7.497
Ba Sm U As
3 2 1 6
direct
0.000 0.000 0.000
0.329 0.671 0.000
0.671 0.329 0.000
0.166 0.834 0.500
0.834 0.166 0.500
0.500 0.500 0.500
0.119 0.432 0.295
0.257 0.257 0.707
0.432 0.119 0.295
0.568 0.881 0.705
0.743 0.743 0.293
0.881 0.568 0.705
```

---

Record 11
Crystalline BaSn2As at its relaxed geometry, computed with PBE-GGA.

Output
* formation energy from the elements: -0.45 eV/atom
* symmetry: Cmcm

```
BaSn2As
1.0
3.246 -3.251 0.000
3.246 3.251 0.000
0.000 0.000 12.726
Ba Sn As
2 4 2
direct
0.223 0.777 0.750
0.777 0.223 0.250
0.253 0.747 0.037
0.253 0.747 0.463
0.747 0.253 0.537
0.747 0.253 0.963
0.279 0.721 0.250
0.721 0.279 0.750
```

---

Record 12
Crystalline Ba5SnAs6 at its relaxed geometry, computed with PBE-GGA.

Output
* formation energy from the elements: -0.83 eV/atom
* symmetry: C2/m

```
Ba5SnAs6
1.0
4.160 -8.446 0.000
4.160 8.446 0.000
-2.625 0.000 5.811
Ba Sn As
5 1 6
direct
0.000 0.000 0.000
0.187 0.813 0.500
0.387 0.613 0.000
0.613 0.387 0.000
0.813 0.187 0.500
0.500 0.500 0.500
0.028 0.617 0.907
0.176 0.176 0.595
0.383 0.972 0.093
0.617 0.028 0.907
0.824 0.824 0.405
0.972 0.383 0.093
```